(1)
This record from the Alexandria database describes a relaxed TaGaMo2 crystal. The functional is PBE-GGA.

a = 7.1790 Å, b = 7.1790 Å, c = 5.4195 Å
α = 90.00°, β = 90.00°, γ = 90.00°
With the nearest neighbours (Å) after each atom.
Space group I-42d (No. 122)
One atom of each set of equivalent atoms:
Ta (0.0000, 0.0000, 0.0000)  4 Mo 2.68, 2 Ga 2.71
Ga (0.0000, 0.0000, 0.5000)  4 Mo 2.58, 2 Ta 2.71
Mo (0.2395, 0.2500, 0.6250)  2 Ga 2.58, 2 Ta 2.68, 2 Mo 2.71

Output
The calculation puts the formation energy at 0.68 eV per atom.

---

(2)
This record from the Alexandria database describes a relaxed Cu2AsPd5 crystal. The functional is PBE-GGA.

a = 2.8653 Å, b = 7.0280 Å, c = 12.1303 Å
α = 90.00°, β = 90.00°, γ = 90.00°
With the nearest neighbours (Å) after each atom.
Space group Immm (No. 71)
One atom of each set of equivalent atoms:
Cu (0.0000, 0.0000, 0.2108)  7 Pd 2.55-2.66
As (0.0000, 0.5000, 0.0000)  8 Pd 2.58, 2 As 2.87
Pd (0.0000, 0.0000, 0.0000)  2 Cu 2.56, 8 Pd 2.85
Pd (0.0000, 0.2209, 0.3776)  3 Cu 2.55-2.66, 2 As 2.58, 2 Pd 2.85

Output
The polymorph energy (0 for the lowest one) comes out at 85 meV per atom. The calculation puts the formation energy at -0.06 eV per atom.

---

(3)
This record from the Alexandria database describes a relaxed Nd3Zn4Co2 crystal. The functional is PBE-GGA.

a = 11.1291 Å, b = 4.1871 Å, c = 8.4976 Å
α = 90.00°, β = 110.96°, γ = 90.00°
With the nearest neighbours (Å) after each atom.
Space group C2/m (No. 12)
One atom of each set of equivalent atoms:
Nd (0.0000, 0.0000, 0.0000)  4 Co 3.01, 8 Zn 3.02-3.36
Nd (0.1828, 0.5000, 0.6483)  3 Co 3.02-3.03, 8 Zn 3.13-3.37
Zn (0.0391, 0.0000, 0.3708)  2 Co 2.49, 1 Zn 2.63
Zn (0.2175, 0.5000, 0.0593)  1 Co 2.49, 2 Zn 2.54
Co (0.1080, 0.5000, 0.2681)  3 Zn 2.49

Output
The calculation puts the formation energy at -0.22 eV per atom.

---

(4)
This record from the Alexandria database describes a relaxed Cu2BiPd6 crystal. The functional is PBE-GGA.

a = 8.7614 Å, b = 4.0370 Å, c = 8.4369 Å
α = 90.00°, β = 106.95°, γ = 90.00°
With the nearest neighbours (Å) after each atom.
Space group C2/m (No. 12)
One atom of each set of equivalent atoms:
Cu (0.1856, 0.0000, 0.2473)  9 Pd 2.63-2.93
Bi (0.0000, 0.5000, 0.0000)  8 Pd 2.81-2.82, 4 Cu 3.02
Pd (0.0065, 0.5000, 0.3344)  3 Cu 2.69-2.78, 8 Pd 2.76-2.84, 1 Bi 2.81
Pd (0.1634, 0.0000, 0.8819)  5 Pd 2.78-2.93, 4 Cu 2.80-3.03, 3 Bi 2.82
Pd (0.1643, 0.0000, 0.5521)  3 Cu 2.63-2.72, 9 Pd 2.75-2.84

Output
The polymorph energy (0 for the lowest one) comes out at 31 meV per atom. The calculation puts the formation energy at -0.13 eV per atom.

---

(5)
This record from the Alexandria database describes a relaxed BeCrSb2 crystal. The functional is PBE-GGA.

a = 3.9776 Å, b = 3.9776 Å, c = 17.9399 Å
α = 90.00°, β = 90.00°, γ = 120.00°
With the nearest neighbours (Å) after each atom.
Space group R3m (No. 160, hexagonal axes)
One atom of each set of equivalent atoms:
Be (0.0000, 0.0000, 0.0000)  3 Cr 2.31
Cr (0.0000, 0.0000, 0.6828)  3 Be 2.31
Sb (0.0000, 0.0000, 0.2556)  3 Be 2.69, 3 Cr 2.85
Sb (0.0000, 0.0000, 0.4367)  3 Cr 2.78, 3 Be 2.95

Output
The calculation puts the raw formation energy at 265 meV per atom.

---

(6)
This record from the Alexandria database describes a relaxed NdMg3Rh4 crystal. The functional is PBE-GGA.

a = 4.5638 Å, b = 4.5638 Å, c = 6.5057 Å
α = 90.00°, β = 90.00°, γ = 90.00°
With the nearest neighbours (Å) after each atom.
Space group P4/mmm (No. 123)
One atom of each set of equivalent atoms:
Nd (0.0000, 0.0000, 0.0000)  8 Rh 2.87
Mg (0.0000, 0.0000, 0.5000)  8 Rh 2.74
Mg (0.5000, 0.5000, 0.0000)  8 Rh 2.87
Mg (0.5000, 0.5000, 0.5000)  8 Rh 2.74
Rh (0.0000, 0.5000, 0.2675)  6 Mg 2.74-2.87, 2 Nd 2.87, 1 Rh 3.03

Output
The calculation puts the formation energy at -0.52 eV per atom.

---

Size of the total moment readings, ordered: 0.0, 0.0, 0.0, 0.0, 9.0, 0.0 μB/cell